GGA-PBE LiBi2Sb, relaxed; total magnetic moment = 0.00 μB per cell; ρ = 6.3 g cm⁻³; SG = R-3m, No. 166; raw formation energy = 0.15 eV/atom
1.0
4.176 0.000 0.000
2.088 3.616 0.000
2.088 1.205 9.473
Sb Bi Li
1 2 1
Cartesian
4.176 2.411 4.737
2.088 1.205 6.665
6.264 3.616 2.809
0.000 0.000 0.000